Computed, not measured: NdTaN2O after structural relaxation at the PBE-GGA level of DFT.

Geometry as CIF:
```
data_NdTaN2O
_chemical_formula_sum 'Nd2 Ta2 N4 O2'
_cell_length_a 5.706
_cell_length_b 3.972
_cell_length_c 5.810
_cell_angle_alpha 90.00
_cell_angle_beta 90.00
_cell_angle_gamma 90.00
_symmetry_space_group_name_H-M 'P m m a'
_symmetry_Int_Tables_number 51
loop_
_symmetry_equiv_pos_as_xyz
'x,y,z'
'-x,-y,-z'
'-x+1/2,-y,z'
'x+1/2,y,-z'
'x+1/2,-y,-z'
'-x+1/2,y,z'
'-x,y,-z'
'x,-y,z'
loop_
_atom_site_label
_atom_site_type_symbol
_atom_site_fract_x
_atom_site_fract_y
_atom_site_fract_z
Nd1 Nd 0.250 0.000 0.216
Ta1 Ta 0.250 0.500 0.731
N1 N 0.000 0.500 0.500
N2 N 0.250 0.000 0.800
O1 O 0.000 0.500 0.000
```

Calculated values
final energy	-9.4614	eV per atom